# 1
Here is an optimized crystal structure of BaAlSi2 from the Alexandria database. Energies are from GGA-PBE.

a b c (Å): 5.076 5.076 9.260
angles (deg): 74.09 74.09 90.00
Sites, in units of the cell vectors:
Al: 0.250 0.750 0.500
Al: 0.500 0.500 0.000
Si: 0.375 0.625 0.250
Si: 0.875 0.625 0.750
Si: 0.375 0.125 0.250
Si: 0.375 0.625 0.750
Ba: 0.000 0.000 0.000
Ba: 0.750 0.250 0.500

Formation energy without anion corrections (eV/atom): -0.12

---

# 2
Here is an optimized crystal structure of BaAlSi2 from the Alexandria database. Energies are from GGA-PBE.

a b c (Å): 4.513 3.232 6.543
angles (deg): 89.98 90.00 90.00
Sites, in units of the cell vectors:
Si: 0.000 0.250 0.062
Si: 0.000 0.250 0.438
Al: 0.500 0.250 0.250
Ba: 0.500 0.750 0.750

Formation energy without anion corrections (eV/atom): 0.04

---

# 3
Here is an optimized crystal structure of BaAlSi2 from the Alexandria database. Energies are from GGA-PBE.

a b c (Å): 4.629 4.629 6.246
angles (deg): 74.95 74.95 49.28
Sites, in units of the cell vectors:
Ba: 0.750 0.750 0.750
Si: 0.981 0.981 0.124
Si: 0.519 0.519 0.376
Al: 0.250 0.250 0.250

Formation energy without anion corrections (eV/atom): -0.20

---

# 4
Here is an optimized crystal structure of Ba3AlSi from the Alexandria database. Energies are from GGA-PBE.

a b c (Å): 6.335 6.335 6.335
angles (deg): 90.00 90.00 90.00
Each line ends with the local moment (μB).
Sites, in units of the cell vectors:
Ba: 0.000 0.000 0.500  0.07
Ba: 0.500 0.000 0.000  0.11
Ba: 0.000 0.500 0.000  0.09
Si: 0.000 0.000 0.000  0.09
Al: 0.500 0.500 0.500  0.15

Formation energy without anion corrections (eV/atom): 0.16
Polymorph energy (0 for the lowest one) (eV/atom): 0.0000